First-principles (PBE) data for a relaxed Nd2ScTl crystal, as listed in the Alexandria database.

The structure in POSCAR format:
```
Nd2ScTl
1.0
6.7105 0.0000 0.0000
0.0000 5.1787 0.0000
-1.7471 0.0000 6.7986
Nd Sc Tl
4 2 2
direct
0.1567 0.2500 0.4138
0.1620 0.2500 0.9181
0.8380 0.7500 0.0819
0.8433 0.7500 0.5862
0.3838 0.7500 0.2226
0.6162 0.2500 0.7774
0.3752 0.7500 0.7165
0.6248 0.2500 0.2835
```

## Properties
crystal system = monoclinic
E_tot = -4.721 eV/atom
offset from the most stable computed form = 0.0109 eV/atom
density = 7.6 g/cm³